# 1
Entry from Alexandria via LeMat-Bulk: a geometry-optimized Sr2In4HgAu3 structure (GGA-PBE).

a = 4.765 Å, b = 4.765 Å, c = 11.575 Å
α = 90.00°, β = 90.00°, γ = 90.00°
Positions (direct):
Sr  0.500  0.000  0.252
Sr  0.000  0.500  0.748
In  0.500  0.500  0.000
In  0.000  0.000  0.000
In  0.500  0.000  0.634
In  0.000  0.500  0.366
Hg  0.500  0.500  0.500
Au  0.000  0.000  0.500
Au  0.500  0.000  0.868
Au  0.000  0.500  0.132

**Formation enthalpy at 0 K**: -0.470 eV/atom
**Space group**: P-4m2, No. 115


# 2
Entry from Alexandria via LeMat-Bulk: a geometry-optimized Nd12SmSc3 structure (GGA-PBE).

a = 5.086 Å, b = 5.086 Å, c = 20.331 Å
α = 90.00°, β = 90.00°, γ = 90.00°
Positions (direct):
Nd  0.500  0.500  0.000
Nd  0.500  0.500  0.254
Nd  0.500  0.500  0.500
Nd  0.500  0.500  0.746
Nd  0.500  0.000  0.130
Nd  0.500  0.000  0.377
Nd  0.500  0.000  0.623
Nd  0.500  0.000  0.870
Nd  0.000  0.500  0.130
Nd  0.000  0.500  0.377
Nd  0.000  0.500  0.623
Nd  0.000  0.500  0.870
Sm  0.000  0.000  0.000
Sc  0.000  0.000  0.253
Sc  0.000  0.000  0.500
Sc  0.000  0.000  0.747

**Formation enthalpy at 0 K**: 0.033 eV/atom
**Space group**: P4/mmm, No. 123


# 3
Entry from Alexandria via LeMat-Bulk: a geometry-optimized NiSeI2 structure (GGA-PBE).

a = 3.988 Å, b = 3.988 Å, c = 8.708 Å
α = 76.76°, β = 76.76°, γ = 60.00°
Site moments in Bohr magnetons follow the coordinates.
Positions (direct):
I  0.109  0.109  0.673  0.09
I  0.891  0.891  0.327  0.09
Ni  0.500  0.500  0.500  0.70
Se  0.000  0.000  0.000  -0.14

**ΔE_f (raw)**: 0.25 eV per atom
**Space group**: R-3m, No. 166


# 4
Entry from Alexandria via LeMat-Bulk: a geometry-optimized Ca6Si6H2O19 structure (GGA-PBE).

a = 7.145 Å, b = 7.427 Å, c = 8.791 Å
α = 102.17°, β = 90.82°, γ = 90.04°
Positions (direct):
Ca  0.656  0.839  0.867
Ca  0.344  0.161  0.133
Ca  0.500  0.000  0.500
Ca  0.500  0.500  0.500
Ca  0.652  0.343  0.858
Ca  0.348  0.657  0.142
Si  0.947  0.045  0.682
Si  0.053  0.955  0.318
Si  0.232  0.363  0.786
Si  0.768  0.637  0.214
Si  0.234  0.782  0.787
Si  0.766  0.218  0.213
H  0.858  0.550  0.689
H  0.142  0.450  0.311
O  0.723  0.553  0.703
O  0.277  0.447  0.297
O  0.724  0.050  0.704
O  0.276  0.950  0.296
O  0.334  0.859  0.957
O  0.666  0.141  0.043
O  0.331  0.368  0.956
O  0.669  0.632  0.044
O  0.031  0.247  0.769
O  0.969  0.753  0.231
O  0.033  0.891  0.772
O  0.967  0.109  0.228
O  0.385  0.791  0.653
O  0.615  0.209  0.347
O  0.385  0.287  0.653
O  0.615  0.713  0.347
O  0.157  0.570  0.775
O  0.843  0.430  0.225
O  0.000  0.000  0.500

**Space group**: P-1, No. 2


no.,E_tot (eV/atom)
1,-2.91
2,-5.02
3,-2.84
4,-7.26